(1)
## LiTm2GaO (PBE)

Data for an optimized crystal structure of LiTm2GaO.

- E_form (uncorrected): -721 kJ/mol of formula units
- V: 17.36 Å³/atom
- Raw total energy: -26.32 eV for the cell shown
- Crystal system: tetragonal
- Magnetization: 0.00 μB per cell

a b c (Å): 4.660 4.660 3.998
angles (deg): 90.00 90.00 90.00
Space group P4/mmm (No. 123)
Unique sites:
Li1 0.000 0.000 0.000
Tm1 0.000 0.500 0.500
Ga1 0.500 0.500 0.000
O1 0.000 0.000 0.500

(2)
## BaY2Te (PBE)

Data for an optimized crystal structure of BaY2Te.

- E_form (uncorrected): -197 kJ/mol of formula units
- V: 36.49 Å³/atom
- Raw total energy: -20.03 eV for the cell shown
- Crystal system: monoclinic
- Magnetization: 0.00 μB per cell

a b c (Å): 4.179 5.183 7.053
angles (deg): 90.00 107.15 90.00
Space group Pm (No. 6)
Unique sites:
Ba1 0.000 0.000 0.000
Y1 0.290 0.500 0.583
Y2 0.726 0.000 0.454
Te1 0.601 0.500 0.203

(3)
## LaYBr2 (PBE)

Data for an optimized crystal structure of LaYBr2.

- E_form (uncorrected): -268 kJ/mol of formula units
- V: 37.54 Å³/atom
- Polymorph energy (0 for the lowest one): 2.10 eV/f.u.
- Raw total energy: -70.07 eV for the cell shown
- Crystal system: tetragonal
- Magnetization: 0.00 μB per cell

a b c (Å): 6.646 6.646 13.599
angles (deg): 90.00 90.00 90.00
Space group I-42d (No. 122)
Unique sites:
La1 0.000 0.000 0.000
Y1 0.000 0.000 0.500
Br1 0.226 0.250 0.625

(4)
## Ba6P2Br2N (PBE)

Data for an optimized crystal structure of Ba6P2Br2N.

- E_form (uncorrected): -1274 kJ/mol of formula units
- V: 38.38 Å³/atom
- Raw total energy: -94.45 eV for the cell shown
- Crystal system: monoclinic
- Magnetization: 2.02 μB per cell

a b c (Å): 7.876 13.586 8.375
angles (deg): 90.00 109.58 90.00
Space group C2/m (No. 12)
Unique sites:
Ba1 0.227 0.153 0.206
Ba2 0.232 0.000 0.801
P1 0.000 0.332 0.000
Br1 0.000 0.171 0.500
N1 0.000 0.000 0.000

(5)
## LiTl2Si (PBE)

Data for an optimized crystal structure of LiTl2Si.

- E_form (uncorrected): 55 kJ/mol of formula units
- V: 23.28 Å³/atom
- Polymorph energy (0 for the lowest one): 0.00 eV/f.u.
- Raw total energy: -11.50 eV for the cell shown
- Crystal system: tetragonal
- Magnetization: 0.00 μB per cell

a b c (Å): 3.266 3.266 8.730
angles (deg): 90.00 90.00 90.00
Space group P4mm (No. 99)
Unique sites:
Li1 0.000 0.000 0.000
Tl1 0.000 0.000 0.403
Tl2 0.500 0.500 0.756
Si1 0.500 0.500 0.152

(6)
## KAgBr2 (PBE)

Data for an optimized crystal structure of KAgBr2.

- E_form (uncorrected): -273 kJ/mol of formula units
- V: 38.40 Å³/atom
- Raw total energy: -30.36 eV for the cell shown
- Crystal system: trigonal
- Magnetization: 0.00 μB per cell

a b c (Å): 4.4848 4.4848 26.4545
angles (deg): 90.00 90.00 120.00
Space group R-3m (No. 166, hexagonal axes)
Unique sites:
K1 0.0000 0.0000 0.0000
Ag1 0.0000 0.0000 0.5000
Br1 0.0000 0.0000 0.1119

(7)
## BaLiTlAu2 (PBE)

Data for an optimized crystal structure of BaLiTlAu2.

- V: 26.39 Å³/atom
- Polymorph energy (0 for the lowest one): 0.00 eV/f.u.
- Raw total energy: -30.79 eV for the cell shown
- Crystal system: tetragonal
- Magnetization: 0.00 μB per cell

a b c (Å): 4.464 4.464 13.243
angles (deg): 90.00 90.00 90.00
Space group I-4m2 (No. 119)
Unique sites:
Ba1 0.000 0.000 0.000
Li1 0.000 0.500 0.250
Tl1 0.000 0.500 0.750
Au1 0.000 0.000 0.392

(8)
## Pm4GaGeO (PBE)

Data for an optimized crystal structure of Pm4GaGeO.

- E_form (uncorrected): -802 kJ/mol of formula units
- V: 25.24 Å³/atom
- Raw total energy: -159.67 eV for the cell shown
- Crystal system: orthorhombic
- Magnetization: 0.01 μB per cell

a b c (Å): 6.630 16.096 6.621
angles (deg): 90.00 90.00 90.00
Space group Cmcm (No. 63)
Unique sites:
Pm1 0.000 0.073 0.250
Pm2 0.000 0.426 0.250
Pm3 0.250 0.250 0.000
Ga1 0.000 0.114 0.750
Ge1 0.000 0.386 0.750
O1 0.000 0.254 0.250

> Number 2 is which compound?

BaY2Te